# Dy3Th13 | Alexandria via LeMat-Bulk | PBE-GGA | relaxed
# - Calculated density: 11.23 g/cm3
# - Energy relative to the elements: 0.85 eV/f.u.
data_Dy3Th13
_chemical_formula_sum 'Dy6 Th26'
_symmetry_space_group_name_H-M 'A m m 2'
_symmetry_Int_Tables_number 38
_cell_length_a 7.1156
_cell_length_b 11.8211
_cell_length_c 12.3158
_cell_angle_alpha 90.00
_cell_angle_beta 90.00
_cell_angle_gamma 90.00
loop_
_symmetry_equiv_pos_as_xyz
'x,y,z'
'-x,-y,z'
'-x,y,z'
'x,-y,z'
'x,y+1/2,z+1/2'
'-x,-y+1/2,z+1/2'
'-x,y+1/2,z+1/2'
'x,-y+1/2,z+1/2'
loop_
_atom_site_label
_atom_site_type_symbol
_atom_site_fract_x
_atom_site_fract_y
_atom_site_fract_z
Dy1 Dy 0.0000 0.0000 0.0000
Dy2 Dy 0.2490 0.0000 0.7479
Th1 Th 0.0000 0.0000 0.4948
Th2 Th 0.0000 0.2504 0.1629
Th3 Th 0.2503 0.2489 0.9123
Th4 Th 0.2524 0.0000 0.2496
Th5 Th 0.5000 0.0000 0.0031
Th6 Th 0.5000 0.0000 0.4929
Th7 Th 0.5000 0.2473 0.6625